one) Pr3CdCo: relaxed, PBE.

abc: 7.5756 4.8053 8.4220
angles: 90.00 111.42 90.00
Last column: nearest neighbours and their distance in Å.
Atoms (fractional coordinates):
Pr 0.0553 0.2500 0.2555  1 Co 2.71
Pr 0.3075 0.2500 0.9059  1 Co 2.68
Pr 0.3377 0.7500 0.5849  3 Co 2.87-3.15
Pr 0.6623 0.2500 0.4151  3 Co 2.87-3.15
Pr 0.6925 0.7500 0.0941  1 Co 2.68
Pr 0.9447 0.7500 0.7445  1 Co 2.71
Cd 0.3050 0.7500 0.1773  8 Pr 3.26-3.63
Cd 0.6950 0.2500 0.8227  8 Pr 3.26-3.63
Co 0.0678 0.2500 0.5808  3 Pr 2.68-2.87, 2 Co 2.77
Co 0.9322 0.7500 0.4192  3 Pr 2.68-2.87, 2 Co 2.77

Computed properties:
symmetry	P2_1/m
N(E_F)	1.19	states/eV/atom

***

two) Pr3CdCo: relaxed, PBE.

abc: 5.3447 5.3447 5.3447
angles: 90.00 90.00 90.00
Last column: nearest neighbours and their distance in Å.
Atoms (fractional coordinates):
Pr 0.0000 0.0000 0.5000  2 Co 2.67
Pr 0.0000 0.5000 0.0000  2 Co 2.67
Pr 0.5000 0.0000 0.0000  2 Co 2.67
Cd 0.5000 0.5000 0.5000  12 Pr 3.78
Co 0.0000 0.0000 0.0000  6 Pr 2.67

Computed properties:
symmetry	Pm-3m
N(E_F)	0.91	states/eV/atom

***

Decreasing stability: one), two)